[1]
Entry from the Alexandria database: a geometry-optimized Ca5In4Pd structure (GGA-PBE).

a b c (Å): 3.784 3.784 19.035
angles (deg): 90.00 90.00 90.00
Space group P4/mmm (No. 123)
One atom of each set of equivalent atoms:
Ca 0.000 0.000 0.000 x1
Ca 0.000 0.000 0.207 x2
Ca 0.000 0.000 0.413 x2
In 0.500 0.500 0.104 x2
In 0.500 0.500 0.309 x2
Pd 0.500 0.500 0.500 x1

Output
Energy in eV/atom: -3.108

[2]
Entry from the Alexandria database: a geometry-optimized Ca5InPd6 structure (GGA-PBE).

a b c (Å): 8.523 14.811 4.947
angles (deg): 90.00 125.47 90.00
Space group C2/m (No. 12)
One atom of each set of equivalent atoms:
Ca 0.000 0.000 0.000 x2
Ca 0.000 0.167 0.500 x4
Ca 0.000 0.334 0.000 x4
In 0.000 0.500 0.500 x2
Pd 0.231 0.500 0.232 x4
Pd 0.239 0.341 0.739 x8

Output
Energy in eV/atom: -4.313

[3]
Entry from the Alexandria database: a geometry-optimized CaInPd3 structure (GGA-PBE).

a b c (Å): 4.926 4.926 4.926
angles (deg): 90.00 90.00 90.00
Space group Pm-3m (No. 221)
One atom of each set of equivalent atoms:
Ca 0.000 0.000 0.000 x1
In 0.500 0.500 0.500 x1
Pd 0.000 0.000 0.500 x3

Output
Relative energy among the computed polymorphs in meV per atom: 679

[4]
Entry from the Alexandria database: a geometry-optimized Ca2In8Pd structure (GGA-PBE).

a b c (Å): 4.776 4.776 12.109
angles (deg): 90.00 90.00 90.00
Space group P4/mmm (No. 123)
One atom of each set of equivalent atoms:
Ca 0.000 0.000 0.190 x2
In 0.000 0.500 0.000 x2
In 0.000 0.500 0.375 x4
In 0.500 0.500 0.193 x2
Pd 0.000 0.000 0.500 x1

Output
Energy in eV/atom: -3.183

[5]
Entry from the Alexandria database: a geometry-optimized Ca3In2Pd6 structure (GGA-PBE).

a b c (Å): 9.813 9.813 9.813
angles (deg): 90.00 90.00 90.00
Space group Im-3m (No. 229)
One atom of each set of equivalent atoms:
Ca 0.000 0.000 0.305 x12
In 0.250 0.250 0.250 x8
Pd 0.000 0.335 0.335 x24

Output
Energy in eV/atom: -4.545

[6]
Entry from the Alexandria database: a geometry-optimized Ca2In3Pd4 structure (GGA-PBE).

a b c (Å): 6.026 16.527 7.647
angles (deg): 90.00 90.00 90.00
Space group Cmce (No. 64)
One atom of each set of equivalent atoms:
Ca 0.000 0.102 0.086 x8
In 0.000 0.000 0.500 x4
In 0.250 0.236 0.750 x8
Pd 0.000 0.169 0.479 x8
Pd 0.250 0.070 0.750 x8

Output
Energy in eV/atom: -4.323

[7]
Entry from the Alexandria database: a geometry-optimized CaInPd3 structure (GGA-PBE).

a b c (Å): 6.597 14.162 5.068
angles (deg): 90.00 90.00 90.00
Space group Cmcm (No. 63)
One atom of each set of equivalent atoms:
Ca 0.000 0.090 0.250 x4
In 0.000 0.333 0.250 x4
Pd 0.000 0.500 0.000 x4
Pd 0.195 0.291 0.750 x8

Output
Relative energy among the computed polymorphs in meV per atom: 0

[8]
Entry from the Alexandria database: a geometry-optimized CaInPd structure (GGA-PBE).

a b c (Å): 4.7133 4.7133 3.7388
angles (deg): 90.00 90.00 120.00
Space group P-6m2 (No. 187)
One atom of each set of equivalent atoms:
Ca 0.0000 0.0000 0.0000 x1
In 0.3333 0.6667 0.5000 x1
Pd 0.6667 0.3333 0.5000 x1

Output
Energy in eV/atom: -3.891

[9]
Entry from the Alexandria database: a geometry-optimized CaPmInPd structure (GGA-PBE).

a b c (Å): 7.427 7.427 7.427
angles (deg): 90.00 90.00 90.00
Space group F-43m (No. 216)
One atom of each set of equivalent atoms:
Ca 0.000 0.000 0.000 x4
Pm 0.000 0.000 0.500 x4
In 0.250 0.250 0.250 x4
Pd 0.250 0.250 0.750 x4

Output
Energy in eV/atom: -4.212

[10]
Entry from the Alexandria database: a geometry-optimized CaPrInPd structure (GGA-PBE).

a b c (Å): 7.488 7.488 7.488
angles (deg): 90.00 90.00 90.00
Space group F-43m (No. 216)
One atom of each set of equivalent atoms:
Ca 0.000 0.000 0.000 x4
Pr 0.000 0.000 0.500 x4
In 0.250 0.250 0.250 x4
Pd 0.250 0.250 0.750 x4

Output
Energy in eV/atom: -4.208

[11]
Entry from the Alexandria database: a geometry-optimized Ca2In6PdPt structure (GGA-PBE).

a b c (Å): 10.413 10.413 10.413
angles (deg): 90.00 90.00 90.00
Space group Fm-3m (No. 225)
One atom of each set of equivalent atoms:
Ca 0.250 0.250 0.250 x8
In 0.000 0.000 0.249 x24
Pd 0.000 0.000 0.000 x4
Pt 0.000 0.000 0.500 x4

Output
Energy in eV/atom: -3.401

[12]
Entry from the Alexandria database: a geometry-optimized Ca2In5Pd2Pt structure (GGA-PBE).

a b c (Å): 10.444 10.444 4.093
angles (deg): 90.00 90.00 90.00
Space group P4/mbm (No. 127)
One atom of each set of equivalent atoms:
Ca 0.180 0.320 0.000 x4
In 0.000 0.500 0.500 x2
In 0.057 0.804 0.500 x8
Pd 0.121 0.621 0.000 x4
Pt 0.000 0.000 0.000 x2

Output
Energy in eV/atom: -3.901

What size of the total moment values result from the calculations? In sequence: 0.000; 0.000; 0.000; 0.000; 0.000; 0.000; 0.000; 0.000; 0.000; 0.000; 0.000; 0.000 μB/atom.